This record from the Alexandria database describes a PBEsol-optimized structure of CoAs2F. The functional is SCAN.

Cell lengths 5.018, 5.018, 11.467 Å; angles 90.00, 90.00, 90.00 degrees
Space group I-42d (No. 122)
Unique sites:
Co1 0.000 0.000 0.000
As1 0.199 0.250 0.125
F1 0.000 0.000 0.500

Results
DOS(E_F)	4.645	states/eV/cell
total magnetization	0.000	μB per atom
V	18.0	Å³ per atom
energy	-62.17	eV/f.u.
ΔE_f (raw)	-237	meV per atom